(1)
LiPmSn2Pd after structural relaxation. Source: the Alexandria database, functional PBE.

Cell lengths 6.639, 6.639, 6.639 Å; angles 141.51, 141.51, 55.57 degrees
Sites, in units of the cell vectors:
Li 0.000 0.000 0.000
Pm 0.250 0.750 0.500
Sn 0.630 0.130 0.500
Sn 0.870 0.370 0.500
Pd 0.500 0.500 0.000

Properties
Its energy is -4.630 eV per atom.

(2)
TaH2Se after structural relaxation. Source: the Alexandria database, functional PBE.

Cell lengths 3.929, 3.929, 3.929 Å; angles 60.00, 60.00, 60.00 degrees
Sites, in units of the cell vectors:
Ta 0.000 0.000 0.000
H 0.250 0.250 0.250
H 0.750 0.750 0.750
Se 0.500 0.500 0.500

Properties
Its distance to the lowest polymorph of the same formula is 1029 meV/atom.

(3)
UP3O12 after structural relaxation. Source: the Alexandria database, functional PBE.

Cell lengths 9.222, 9.222, 9.222 Å; angles 54.04, 54.04, 54.04 degrees
Sites, in units of the cell vectors:
U 0.000 0.000 0.000
U 0.500 0.500 0.500
P 0.136 0.395 0.806
P 0.306 0.895 0.636
P 0.395 0.806 0.136
P 0.636 0.306 0.895
P 0.806 0.136 0.395
P 0.895 0.636 0.306
O 0.006 0.722 0.082
O 0.021 0.447 0.414
O 0.082 0.006 0.722
O 0.127 0.213 0.840
O 0.213 0.840 0.127
O 0.222 0.506 0.582
O 0.286 0.340 0.874
O 0.340 0.713 0.627
O 0.340 0.874 0.286
O 0.374 0.840 0.786
O 0.414 0.021 0.447
O 0.447 0.414 0.021
O 0.506 0.582 0.222
O 0.521 0.914 0.947
O 0.582 0.222 0.506
O 0.627 0.340 0.713
O 0.713 0.627 0.340
O 0.722 0.082 0.006
O 0.786 0.374 0.840
O 0.840 0.127 0.213
O 0.840 0.786 0.374
O 0.874 0.286 0.340
O 0.914 0.947 0.521
O 0.947 0.521 0.914

Properties
Its uncorrected formation energy is -1826 meV per atom.

(4)
Zr2HPd9 after structural relaxation. Source: the Alexandria database, functional PBE.

Cell lengths 4.071, 4.071, 11.247 Å; angles 90.00, 90.00, 90.00 degrees
Sites, in units of the cell vectors:
Zr 0.000 0.000 0.183
Zr 0.000 0.000 0.817
H 0.000 0.000 0.500
Pd 0.000 0.500 0.000
Pd 0.000 0.500 0.349
Pd 0.000 0.500 0.651
Pd 0.500 0.000 0.000
Pd 0.500 0.000 0.349
Pd 0.500 0.000 0.651
Pd 0.500 0.500 0.174
Pd 0.500 0.500 0.500
Pd 0.500 0.500 0.826

Properties
Its energy is -6.011 eV per atom.

Q: Number 1 is which compound?
A: LiPmSn2Pd

Please write out number 2 again, unchanged.
TaH2Se after structural relaxation. Source: the Alexandria database, functional PBE.

Cell lengths 3.929, 3.929, 3.929 Å; angles 60.00, 60.00, 60.00 degrees
Sites, in units of the cell vectors:
Ta 0.000 0.000 0.000
H 0.250 0.250 0.250
H 0.750 0.750 0.750
Se 0.500 0.500 0.500

Properties
Its distance to the lowest polymorph of the same formula is 1029 meV/atom.